[1]
Ac12TbPr7 | the Alexandria database | PBE | relaxed; energy above the most stable polymorph in this dataset = 8.685 eV per formula unit; mass density = 6.96 Mg/m³; space-group type = Im-3, No. 204; V = 923 Å³ per cell; total DFT energy (no corrections) = -0.138 Ha/atom; energy of formation from the pure elements = 0.613 eV/atom
1.0
-6.1335 6.1335 6.1335
6.1335 -6.1335 6.1335
6.1335 6.1335 -6.1335
Ac Tb Pr
12 1 7
direct
0.0745 0.2827 0.7918
0.2082 0.4909 0.2827
0.2082 0.9255 0.7173
0.2827 0.2082 0.4909
0.2827 0.7918 0.0745
0.4909 0.2827 0.2082
0.5091 0.7173 0.7918
0.7173 0.2082 0.9255
0.7173 0.7918 0.5091
0.7918 0.0745 0.2827
0.7918 0.5091 0.7173
0.9255 0.7173 0.2082
0.0000 0.0000 0.0000
0.0000 0.0000 0.5000
0.0000 0.5000 0.0000
0.0000 0.5000 0.5000
0.5000 0.0000 0.0000
0.5000 0.0000 0.5000
0.5000 0.5000 0.0000
0.5000 0.5000 0.5000



[2]
CdRuCl2 | the Alexandria database | PBE | relaxed; energy above the most stable polymorph in this dataset = 2.071 eV per formula unit; mass density = 5.94 Mg/m³; space-group type = Pmmm, No. 47; V = 79 Å³ per cell; energy relative to the elements, uncorrected = 0.32 eV/atom; total DFT energy (no corrections) = -0.116 Ha/atom
1.0
3.1811 0.0000 0.0000
0.0000 4.3234 0.0000
0.0000 0.0000 5.7801
Cd Ru Cl
1 1 2
direct
0.0000 0.0000 0.0000
0.5000 0.0000 0.5000
0.0000 0.5000 0.5000
0.5000 0.5000 0.0000



[3]
Zn2SiAu | the Alexandria database | PBE | relaxed; mass density = 9.22 Mg/m³; space-group type = P4/mmm, No. 123; V = 64 Å³ per cell; energy relative to the elements, uncorrected = 0.06 eV/atom; total DFT energy (no corrections) = -0.101 Ha/atom
1.0
3.5072 0.0000 0.0000
0.0000 3.5072 0.0000
0.0000 0.0000 5.2119
Zn Si Au
2 1 1
direct
0.0000 0.0000 0.2445
0.0000 0.0000 0.7555
0.5000 0.5000 0.0000
0.5000 0.5000 0.5000



[4]
PmPrTe2S | the Alexandria database | PBE | relaxed; mass density = 5.74 Mg/m³; space-group type = P4/nmm, No. 129; V = 331 Å³ per cell; energy relative to the elements, uncorrected = -1.52 eV/atom; total DFT energy (no corrections) = -0.202 Ha/atom
1.0
4.5273 0.0000 0.0000
0.0000 4.5273 0.0000
0.0000 0.0000 16.1669
Pm Pr Te S
2 2 4 2
direct
0.2500 0.2500 0.0981
0.7500 0.7500 0.9019
0.2500 0.2500 0.6190
0.7500 0.7500 0.3810
0.2500 0.2500 0.4081
0.2500 0.2500 0.8051
0.7500 0.7500 0.1949
0.7500 0.7500 0.5919
0.2500 0.7500 0.0000
0.7500 0.2500 0.0000



[5]
Ca2In3PbO8 | the Alexandria database | PBE | relaxed; mass density = 5.88 Mg/m³; space-group type = R3m, No. 160; V = 214 Å³ per cell; energy relative to the elements, uncorrected = -1.86 eV/atom; total DFT energy (no corrections) = -0.214 Ha/atom
1.0
3.3404 1.9286 5.5470
-3.3404 1.9286 5.5470
0.0000 -3.8572 5.5470
Ca In Pb O
2 3 1 8
direct
0.0000 0.0000 0.0000
0.3760 0.3760 0.3760
0.3758 0.3758 0.8880
0.3758 0.8880 0.3758
0.8880 0.3758 0.3758
0.7576 0.7576 0.7576
0.1323 0.1323 0.5905
0.1323 0.5905 0.1323
0.1399 0.1399 0.1399
0.1673 0.6246 0.6246
0.5905 0.1323 0.1323
0.6147 0.6147 0.6147
0.6246 0.1673 0.6246
0.6246 0.6246 0.1673



[6]
KMn2Tl | the Alexandria database | PBE | relaxed; energy above the most stable polymorph in this dataset = 0.755 eV per formula unit; mass density = 5.28 Mg/m³; space-group type = P4/mmm, No. 123; V = 111 Å³ per cell; total DFT energy (no corrections) = -0.172 Ha/atom; energy of formation from the pure elements = 0.761 eV/atom
1.0
3.7157 0.0000 0.0000
0.0000 3.7157 0.0000
0.0000 0.0000 8.0481
K Mn Tl
1 2 1
direct
0.0000 0.0000 0.0000
0.5000 0.5000 0.3371
0.5000 0.5000 0.6629
0.0000 0.0000 0.5000



[7]
MgCuBr2F | the Alexandria database | PBE | relaxed; energy above the most stable polymorph in this dataset = 0.000 eV per formula unit; mass density = 4.28 Mg/m³; space-group type = P4/mmm, No. 123; V = 103 Å³ per cell; energy relative to the elements, uncorrected = -0.85 eV/atom; total DFT energy (no corrections) = -0.112 Ha/atom
1.0
5.1714 0.0000 0.0000
0.0000 5.1714 0.0000
0.0000 0.0000 3.8667
Mg Cu Br F
1 1 2 1
direct
0.0000 0.0000 0.0000
0.5000 0.5000 0.5000
0.0000 0.5000 0.5000
0.5000 0.0000 0.5000
0.5000 0.5000 0.0000



[8]
TlCl3 | the Alexandria database | PBE | relaxed; mass density = 3.99 Mg/m³; space-group type = Cmcm, No. 63; V = 517 Å³ per cell; energy relative to the elements, uncorrected = -0.58 eV/atom; total DFT energy (no corrections) = -0.094 Ha/atom
1.0
3.5553 0.0000 0.0000
0.0000 12.9677 0.0000
0.0000 0.0000 11.2193
Tl Cl
4 12
direct
0.0000 0.2037 0.2500
0.0000 0.7963 0.7500
0.5000 0.2963 0.7500
0.5000 0.7037 0.2500
0.0000 0.1432 0.7500
0.0000 0.3726 0.5968
0.0000 0.3726 0.9032
0.0000 0.6274 0.0968
0.0000 0.6274 0.4032
0.0000 0.8568 0.2500
0.5000 0.1274 0.0968
0.5000 0.1274 0.4032
0.5000 0.3568 0.2500
0.5000 0.6432 0.7500
0.5000 0.8726 0.5968
0.5000 0.8726 0.9032



[9]
AcZnCuPd3 | the Alexandria database | PBE | relaxed; mass density = 9.42 Mg/m³; space-group type = Cmcm, No. 63; V = 238 Å³ per cell; total DFT energy (no corrections) = -0.168 Ha/atom; energy of formation from the pure elements = -0.401 eV/atom
1.0
3.2480 -6.1181 0.0000
3.2480 6.1181 0.0000
0.0000 0.0000 5.9917
Ac Zn Cu Pd
2 2 2 6
direct
0.2089 0.7911 0.7500
0.7911 0.2089 0.2500
0.1343 0.8657 0.2500
0.8657 0.1343 0.7500
0.4451 0.5549 0.7500
0.5549 0.4451 0.2500
0.2103 0.2103 0.0000
0.2103 0.2103 0.5000
0.3408 0.6592 0.2500
0.6592 0.3408 0.7500
0.7897 0.7897 0.0000
0.7897 0.7897 0.5000



[10]
KTiSn2 | the Alexandria database | PBE | relaxed; energy above the most stable polymorph in this dataset = 1.398 eV per formula unit; mass density = 3.33 Mg/m³; space-group type = I-42d, No. 122; V = 648 Å³ per cell; total DFT energy (no corrections) = -0.148 Ha/atom; energy of formation from the pure elements = 0.232 eV/atom
1.0
6.0475 0.0000 0.0000
0.0000 6.0475 0.0000
0.0000 0.0000 17.7181
K Ti Sn
4 4 8
direct
0.0000 0.0000 0.0000
0.0000 0.5000 0.2500
0.5000 0.0000 0.7500
0.5000 0.5000 0.5000
0.0000 0.0000 0.5000
0.0000 0.5000 0.7500
0.5000 0.0000 0.2500
0.5000 0.5000 0.0000
0.0597 0.2500 0.6250
0.2500 0.5597 0.8750
0.2500 0.9403 0.3750
0.4403 0.2500 0.1250
0.5597 0.7500 0.1250
0.7500 0.0597 0.3750
0.7500 0.4403 0.8750
0.9403 0.7500 0.6250



[11]
BaMgNi2H8 | the Alexandria database | PBE | relaxed; mass density = 3.16 Mg/m³; space-group type = P-3, No. 147; V = 151 Å³ per cell; total DFT energy (no corrections) = -0.134 Ha/atom
1.0
4.5141 0.0000 0.0000
-2.2570 3.9093 0.0000
0.0000 0.0000 8.5537
Ba Mg Ni H
1 1 2 8
direct
0.0000 0.0000 0.0000
0.0000 0.0000 0.5000
0.3333 0.6667 0.5000
0.6667 0.3333 0.5000
0.0000 0.4167 0.6124
0.0000 0.5833 0.3876
0.3333 0.6667 0.9978
0.4167 0.0000 0.6124
0.4167 0.4167 0.3876
0.5833 0.0000 0.3876
0.5833 0.5833 0.6124
0.6667 0.3333 0.0022



[12]
ZnRuCl2 | the Alexandria database | PBE | relaxed; energy above the most stable polymorph in this dataset = 1.721 eV per formula unit; mass density = 4.83 Mg/m³; space-group type = Cmmm, No. 65; V = 163 Å³ per cell; energy relative to the elements, uncorrected = 0.16 eV/atom; total DFT energy (no corrections) = -0.125 Ha/atom
1.0
2.9844 0.0000 0.0000
0.0000 5.6922 0.0000
0.0000 0.0000 9.6065
Zn Ru Cl
2 2 4
direct
0.0000 0.0000 0.0000
0.5000 0.5000 0.0000
0.0000 0.0000 0.5000
0.5000 0.5000 0.5000
0.0000 0.5000 0.3085
0.0000 0.5000 0.6915
0.5000 0.0000 0.3085
0.5000 0.0000 0.6915



[13]
Be2NiW2 | the Alexandria database | PBE | relaxed; energy above the most stable polymorph in this dataset = 0.000 eV per formula unit; mass density = 12.25 Mg/m³; space-group type = I4/mmm, No. 139; V = 120 Å³ per cell; total DFT energy (no corrections) = -0.277 Ha/atom; energy of formation from the pure elements = 0.296 eV/atom
1.0
2.7604 0.0000 0.0000
0.0000 2.7604 0.0000
0.0000 0.0000 15.8133
Be Ni W
4 2 4
direct
0.0000 0.5000 0.2500
0.0000 0.5000 0.7500
0.5000 0.0000 0.2500
0.5000 0.0000 0.7500
0.0000 0.0000 0.0000
0.5000 0.5000 0.5000
0.0000 0.0000 0.3842
0.0000 0.0000 0.6158
0.5000 0.5000 0.1158
0.5000 0.5000 0.8842



[14]
LaTlS2Cl | the Alexandria database | PBE | relaxed; energy above the most stable polymorph in this dataset = 0.000 eV per formula unit; mass density = 4.29 Mg/m³; space-group type = P4/mmm, No. 123; V = 172 Å³ per cell; energy relative to the elements, uncorrected = -1.14 eV/atom; total DFT energy (no corrections) = -0.170 Ha/atom
1.0
5.5094 0.0000 0.0000
0.0000 5.5094 0.0000
0.0000 0.0000 5.6507
La Tl S Cl
1 1 2 1
direct
0.0000 0.0000 0.0000
0.5000 0.5000 0.5000
0.0000 0.5000 0.0000
0.5000 0.0000 0.0000
0.0000 0.0000 0.5000



[15]
NaGeI2O | the Alexandria database | PBE | relaxed; energy above the most stable polymorph in this dataset = 0.000 eV per formula unit; mass density = 4.47 Mg/m³; space-group type = P4/mmm, No. 123; V = 136 Å³ per cell; energy relative to the elements, uncorrected = -0.71 eV/atom; total DFT energy (no corrections) = -0.129 Ha/atom
1.0
5.9711 0.0000 0.0000
0.0000 5.9711 0.0000
0.0000 0.0000 3.8116
Na Ge I O
1 1 2 1
direct
0.0000 0.0000 0.0000
0.5000 0.5000 0.5000
0.0000 0.5000 0.5000
0.5000 0.0000 0.5000
0.5000 0.5000 0.0000



[16]
La3Pr3Dy2 | the Alexandria database | PBE | relaxed; mass density = 6.83 Mg/m³; space-group type = P-1, No. 2; V = 283 Å³ per cell; total DFT energy (no corrections) = -0.175 Ha/atom; energy of formation from the pure elements = 0.020 eV/atom
1.0
6.3781 0.0000 0.0000
-2.0900 6.0383 0.0000
-2.1547 -3.0115 7.3531
La Pr Dy
3 3 2
direct
0.0000 0.0000 0.0000
0.1269 0.6271 0.2540
0.8731 0.3729 0.7460
0.3722 0.8724 0.7448
0.5000 0.5000 0.0000
0.6278 0.1276 0.2552
0.2500 0.2501 0.5002
0.7500 0.7499 0.4998



[17]
LaGaBi2 | the Alexandria database | PBE | relaxed; mass density = 8.91 Mg/m³; space-group type = P2_1/m, No. 11; V = 234 Å³ per cell; total DFT energy (no corrections) = -0.163 Ha/atom; energy of formation from the pure elements = -0.498 eV/atom
1.0
6.7105 0.0000 0.0000
0.0000 5.3830 0.0000
-1.8325 0.0000 6.4683
La Ga Bi
2 2 4
direct
0.0859 0.2500 0.2806
0.9141 0.7500 0.7194
0.3152 0.7500 0.1180
0.6848 0.2500 0.8820
0.2476 0.2500 0.8408
0.3866 0.7500 0.5906
0.6134 0.2500 0.4094
0.7524 0.7500 0.1592



[18]
Mo2RuW | the Alexandria database | PBE | relaxed; energy above the most stable polymorph in this dataset = 0.388 eV per formula unit; mass density = 12.74 Mg/m³; space-group type = P4/mmm, No. 123; V = 62 Å³ per cell; total DFT energy (no corrections) = -0.396 Ha/atom; energy of formation from the pure elements = 0.206 eV/atom
1.0
3.9316 0.0000 0.0000
0.0000 3.9316 0.0000
0.0000 0.0000 4.0209
Mo Ru W
2 1 1
direct
0.0000 0.5000 0.0000
0.5000 0.0000 0.0000
0.0000 0.0000 0.5000
0.5000 0.5000 0.5000



[19]
MnSnTe2N | the Alexandria database | PBE | relaxed; energy above the most stable polymorph in this dataset = 4.120 eV per formula unit; mass density = 5.48 Mg/m³; space-group type = P4/mmm, No. 123; V = 134 Å³ per cell; energy relative to the elements, uncorrected = 0.93 eV/atom; total DFT energy (no corrections) = -0.170 Ha/atom
1.0
5.8534 0.0000 0.0000
0.0000 5.8534 0.0000
0.0000 0.0000 3.9185
Mn Sn Te N
1 1 2 1
direct
0.0000 0.0000 0.0000
0.5000 0.5000 0.5000
0.0000 0.5000 0.5000
0.5000 0.0000 0.5000
0.5000 0.5000 0.0000



[20]
Na2Ga2RuO6 | the Alexandria database | PBE | relaxed; mass density = 4.76 Mg/m³; space-group type = P-31m, No. 162; V = 133 Å³ per cell; energy relative to the elements, uncorrected = -1.52 eV/atom; total DFT energy (no corrections) = -0.215 Ha/atom
1.0
5.2078 0.0000 0.0000
-2.6039 4.5101 0.0000
0.0000 0.0000 5.6821
Na Ga Ru O
2 2 1 6
direct
0.3333 0.6667 0.0000
0.6667 0.3333 0.0000
0.3333 0.6667 0.5000
0.6667 0.3333 0.5000
0.0000 0.0000 0.5000
0.0000 0.3351 0.6865
0.0000 0.6649 0.3135
0.3351 0.0000 0.6865
0.3351 0.3351 0.3135
0.6649 0.0000 0.3135
0.6649 0.6649 0.6865



[21]
CoRu4S2 | the Alexandria database | PBE | relaxed; mass density = 7.66 Mg/m³; space-group type = I4/mmm, No. 139; V = 229 Å³ per cell; energy relative to the elements, uncorrected = 1.00 eV/atom; total DFT energy (no corrections) = -0.239 Ha/atom
1.0
4.3231 0.0000 0.0000
0.0000 4.3231 0.0000
0.0000 0.0000 12.2337
Co Ru S
2 8 4
direct
0.0000 0.0000 0.0000
0.5000 0.5000 0.5000
0.0000 0.0000 0.2129
0.0000 0.0000 0.7871
0.0000 0.5000 0.0000
0.0000 0.5000 0.5000
0.5000 0.0000 0.0000
0.5000 0.0000 0.5000
0.5000 0.5000 0.2871
0.5000 0.5000 0.7129
0.0000 0.0000 0.3883
0.0000 0.0000 0.6117
0.5000 0.5000 0.1117
0.5000 0.5000 0.8883



[22]
Sr3LaPt2 | the Alexandria database | PBE | relaxed; mass density = 6.01 Mg/m³; space-group type = C2/m, No. 12; V = 437 Å³ per cell; total DFT energy (no corrections) = -0.162 Ha/atom; energy of formation from the pure elements = -0.739 eV/atom
1.0
8.8103 -2.3170 0.0000
8.8103 2.3170 0.0000
-5.4801 0.0000 10.7128
Sr La Pt
6 2 4
direct
0.0541 0.0541 0.2379
0.2223 0.2223 0.6057
0.3370 0.3370 0.9835
0.6630 0.6630 0.0165
0.7777 0.7777 0.3943
0.9459 0.9459 0.7621
0.4233 0.4233 0.3382
0.5767 0.5767 0.6618
0.1390 0.1390 0.8223
0.3898 0.3898 0.5623
0.6102 0.6102 0.4377
0.8610 0.8610 0.1777



[23]
MnMo2Cl | the Alexandria database | PBE | relaxed; energy above the most stable polymorph in this dataset = 2.221 eV per formula unit; mass density = 7.44 Mg/m³; space-group type = Pmmm, No. 47; V = 63 Å³ per cell; energy relative to the elements, uncorrected = 0.73 eV/atom; total DFT energy (no corrections) = -0.274 Ha/atom
1.0
2.9717 0.0000 0.0000
0.0000 4.4888 0.0000
0.0000 0.0000 4.7234
Mn Mo Cl
1 2 1
direct
0.0000 0.0000 0.0000
0.0000 0.5000 0.5000
0.5000 0.0000 0.5000
0.5000 0.5000 0.0000



[24]
Ba2Ce2O5 | the Alexandria database | PBE | relaxed; mass density = 6.13 Mg/m³; space-group type = C2/m, No. 12; V = 172 Å³ per cell; energy relative to the elements, uncorrected = -2.93 eV/atom; total DFT energy (no corrections) = -0.273 Ha/atom
1.0
6.4912 -2.1908 0.0000
6.4912 2.1908 0.0000
-4.0393 0.0000 6.0485
Ba Ce O
2 2 5
direct
0.1293 0.1293 0.4766
0.8707 0.8707 0.5234
0.3876 0.3876 0.0863
0.6124 0.6124 0.9137
0.1581 0.1581 0.8719
0.3857 0.3857 0.7716
0.5000 0.5000 0.5000
0.6143 0.6143 0.2284
0.8419 0.8419 0.1281



[25]
V2Pd2Rh | the Alexandria database | PBE | relaxed; energy above the most stable polymorph in this dataset = 1.458 eV per formula unit; mass density = 9.41 Mg/m³; space-group type = P4/mbm, No. 127; V = 147 Å³ per cell; total DFT energy (no corrections) = -0.265 Ha/atom; energy of formation from the pure elements = -0.023 eV/atom
1.0
7.2864 0.0000 0.0000
0.0000 7.2864 0.0000
0.0000 0.0000 2.7752
V Pd Rh
4 4 2
direct
0.1732 0.3268 0.0000
0.3268 0.8268 0.0000
0.6732 0.1732 0.0000
0.8268 0.6732 0.0000
0.1273 0.6273 0.5000
0.3727 0.1273 0.5000
0.6273 0.8727 0.5000
0.8727 0.3727 0.5000
0.0000 0.0000 0.5000
0.5000 0.5000 0.5000